[1]
## Nd3Ho3Te2Ir (PBE)

Data for a geometry-optimized Nd3Ho3Te2Ir structure.

Properties
V in Å³/f.u.: 251.68
Distance to the lowest polymorph of the same formula in eV/f.u.: 1.29

Geometry as extended XYZ:
```
9
Lattice="8.564 0.000 0.000 -4.282 7.417 0.000 0.000 0.000 3.962" Properties=species:S:1:pos:R:3 pbc="T T T"
Nd -1.060 1.837 0.000
Nd 2.121 0.000 0.000
Nd 3.222 5.580 0.000
Ho -2.568 4.449 1.981
Ho 1.714 2.968 1.981
Ho 5.137 0.000 1.981
Te 0.000 4.945 0.000
Te 4.282 2.472 0.000
Ir 0.000 0.000 1.981
```



[2]
## Nd3Ho3Te2Ir (PBE)

Data for a geometry-optimized Nd3Ho3Te2Ir structure.

Properties
V in Å³/f.u.: 251.84
Distance to the lowest polymorph of the same formula in eV/f.u.: 0.00

Geometry as extended XYZ:
```
9
Lattice="8.463 0.000 0.000 -4.231 7.329 0.000 0.000 0.000 4.061" Properties=species:S:1:pos:R:3 pbc="T T T"
Nd -2.530 4.381 0.000
Nd 1.702 2.948 0.000
Nd 5.059 0.000 0.000
Ho -0.998 1.729 2.030
Ho 1.996 0.000 2.030
Ho 3.233 5.600 2.030
Te 0.000 4.886 2.030
Te 4.231 2.443 2.030
Ir 0.000 0.000 0.000
```